DFT (PBE-GGA) results for a relaxed BaNpSnO6 crystal.

extended XYZ file:
```
18
Lattice="5.5799 0.0000 0.0000 -2.7900 4.8324 0.0000 0.0000 0.0000 11.6947" Properties=species:S:1:pos:R:3 pbc="T T T"
Ba 0.0000 0.0000 0.0000
Ba 0.0000 0.0000 5.8474
Np 2.7900 1.6108 2.9237
Np 0.0000 3.2216 8.7711
Sn 0.0000 3.2216 2.9237
Sn 2.7900 1.6108 8.7711
O 1.7564 3.0203 1.7712
O 4.5274 1.8011 1.7712
O -0.7039 4.8214 7.6186
O -1.7374 3.0313 9.9235
O 1.0526 1.8011 4.0762
O 3.8235 3.0203 4.0762
O 0.7039 4.8214 9.9235
O 3.4939 0.0110 4.0762
O -1.0335 1.8121 7.6186
O 2.0861 0.0110 1.7712
O 1.7374 3.0313 7.6186
O 1.0335 1.8121 9.9235
```

***

DFT (PBE-GGA) results for a relaxed Ba2SrNpO6 crystal.

extended XYZ file:
```
20
Lattice="-5.9575 -0.8097 1.8241 -1.1423 -3.3913 -5.2361 2.3775 -7.4229 4.2890" Properties=species:S:1:pos:R:3 pbc="T T T"
Ba -0.5594 -5.1432 -3.9664
Ba -1.8562 -7.7954 1.3508
Ba -4.1628 -6.4807 4.8434
Ba -2.8660 -3.8285 -0.4738
Sr -2.9787 -0.4048 0.9120
Sr 0.6176 -5.4071 -0.4736
Np -1.7900 -4.1163 3.0565
Np -0.5711 -1.6957 -2.6181
O -2.2545 -2.8677 -2.9668
O -4.1769 -7.3772 -0.5174
O -2.4678 -8.7563 3.8438
O -0.5453 -4.2467 1.3944
O -1.6259 -6.0832 -1.3629
O -3.4467 -10.2912 1.5522
O -3.0964 -5.5407 2.2398
O -1.2755 -1.3328 -0.6752
O -5.5166 -4.2108 -0.1356
O -1.8532 -9.0140 -1.2138
O 0.7944 -7.4131 1.0126
O -2.8690 -2.6099 2.0908
```

***

9
Lattice="4.2891 0.0000 0.0000 0.0000 6.2609 0.0000 -2.1445 -3.1305 6.1396" Properties=species:S:1:pos:R:3 comment="BaSr2NpO5 PBE-GGA relaxed" dos_at_fermi_per_ev_atom=0.96 pbc="T T T"
Ba 0.0000 3.1305 0.0000
Sr 0.0000 0.0000 2.6874
Sr 2.1445 3.1305 3.4522
Np 2.1445 0.0000 0.0000
O 2.1445 4.7473 1.6304
O 0.0000 -1.6168 4.5092
O 0.0000 1.6168 4.5092
O 2.1445 1.5136 1.6304
O 0.0000 0.0000 0.0000

***

9
Lattice="6.1387 -0.0002 0.0026 3.0692 5.3153 0.0023 -0.0017 -0.0006 5.2803" Properties=species:S:1:pos:R:3 comment="BaSrNpO6 PBE-GGA relaxed" dos_at_fermi_per_ev_atom=1.19 pbc="T T T"
Ba 3.0692 5.3151 0.0024
Sr 6.1377 3.5430 2.6435
Np 3.0683 1.7714 2.6417
O 1.3895 1.8013 1.5480
O 2.2528 0.3022 3.7331
O 4.7472 1.8002 3.7352
O 2.2027 3.2109 3.7343
O 3.9341 3.2115 1.5500
O 3.8836 0.3027 1.5494

***

12
Lattice="-1.9137 -2.4790 -3.0695 -1.7562 -2.8762 3.4178 -6.6029 8.4965 0.3870" Properties=species:S:1:pos:R:3 comment="BaSr2Np2O7 PBE-GGA relaxed" dos_at_fermi_per_ev_atom=1.15 pbc="T T T"
Ba -0.0415 -0.0680 0.0808
Sr -5.5041 1.7420 2.0247
Sr -4.7774 1.3850 -1.2725
Np -6.6909 4.5994 0.4569
Np -3.5946 -1.4789 0.3031
O -7.5558 3.1839 2.1393
O -5.4912 -0.1661 0.4253
O -2.5619 -0.2623 1.8091
O -2.7025 -0.0188 -1.4323
O -4.7901 3.2934 0.3265
O -7.6983 3.4241 -1.0982
O -1.7902 -2.6043 0.0870

***

11
Lattice="-0.7892 -5.2317 -3.6919 4.0551 4.4892 -2.2421 3.4688 -2.4232 4.6572" Properties=species:S:1:pos:R:3 comment="Ba2Sr2NpO6 PBE-GGA relaxed" dos_at_fermi_per_ev_atom=0.79 pbc="T T T"
Ba 4.1210 -0.0705 -0.4129
Ba 2.6137 -3.0952 -0.8640
Sr 0.0289 -3.5900 -3.4471
Sr 3.2370 2.8475 -2.4870
Np 1.7344 -1.2116 2.3286
O 5.2234 -2.3804 -1.4931
O 3.9261 -0.3494 2.4073
O 1.5114 -0.7854 0.2163
O 2.3838 -3.4442 1.9458
O 2.8087 -2.8163 -3.6842
O 4.3509 0.2785 -3.2226

***

18
Lattice="-2.8371 -0.6366 4.8311 1.7223 -4.5336 -2.8765 9.7640 0.0655 5.7427" Properties=species:S:1:pos:R:3 comment="BaNpTaO6 PBE-GGA relaxed" dos_at_fermi_per_ev_atom=0.86 pbc="T T T"
Ba 0.0000 0.0000 0.0000
Ba 4.8820 0.0328 2.8714
Np 1.1237 -1.9192 3.6976
Np 7.5255 -3.1854 3.9997
Ta 2.6435 -3.2182 1.1284
Ta 6.0057 -1.8864 6.5689
O 0.8333 -3.2178 2.0125
O 2.1065 -1.7733 -0.1688
O 5.2853 -0.2848 5.5819
O 6.5427 -3.3313 7.8661
O 3.0130 -1.9872 2.6797
O 4.4292 -2.8282 0.2813
O 6.5342 -0.4218 7.8473
O 3.3639 -4.8199 2.1154
O 4.2199 -2.2764 7.4160
O 2.1150 -4.6828 -0.1500
O 5.6362 -3.1174 5.0176
O 7.8159 -1.8869 5.6848

***

10
Lattice="4.2817 0.0000 0.0000 0.0000 4.2817 0.0000 0.0000 0.0000 8.6511" Properties=species:S:1:pos:R:3 comment="Ba2NpTaO6 PBE-GGA relaxed" dos_at_fermi_per_ev_atom=0.69 pbc="T T T"
Ba 0.0000 0.0000 6.3501
Ba 0.0000 0.0000 2.3011
Np 2.1408 2.1408 0.0000
Ta 2.1408 2.1408 4.3256
O 2.1408 0.0000 0.0000
O 2.1408 0.0000 4.3256
O 0.0000 2.1408 0.0000
O 0.0000 2.1408 4.3256
O 2.1408 2.1408 6.3223
O 2.1408 2.1408 2.3288

***

15
Lattice="-2.4066 -4.5129 3.5652 -1.6051 0.4144 -6.0100 5.8226 -4.5832 -1.8711" Properties=species:S:1:pos:R:3 comment="Ba3TbNp2O9 PBE-GGA relaxed" dos_at_fermi_per_ev_atom=0.76 pbc="T T T"
Ba 1.9603 -4.2447 -4.0498
Ba 0.0000 0.0000 0.0000
Ba -0.1493 -4.4369 -0.2661
Tb 2.9113 -2.2916 -0.9355
Np -0.9050 -1.9893 -3.1291
Np 2.7160 -6.6923 -1.1868
O 1.6392 -6.7483 0.6738
O 0.8565 -6.5462 -2.2570
O 2.8128 -4.5475 -1.0648
O -1.0019 -4.1341 -3.2511
O 0.9544 -2.1355 -2.0589
O 0.1717 -1.9334 -4.9897
O -1.2033 -2.2564 1.7826
O -0.8025 0.2072 -3.0050
O -2.0058 -2.0492 -1.2224

***

DFT (PBE-GGA) results for a relaxed BaTbNpO6 crystal.

extended XYZ file:
```
18
Lattice="-2.9789 3.9301 3.2324 -0.3644 -5.7460 1.2723 8.5840 0.9512 6.7545" Properties=species:S:1:pos:R:3 pbc="T T T"
Ba 0.0000 0.0000 0.0000
Ba 4.2920 0.4756 3.3773
Tb 0.9101 -2.2828 3.6143
Tb 4.3306 1.4181 7.6449
Np 0.0386 0.9425 4.2676
Np 5.2021 -1.8072 6.9916
O -0.8454 -0.8370 3.8445
O -1.7372 1.8729 4.5963
O 4.1427 -3.5281 6.7832
O 6.9778 -2.7376 6.6629
O 1.7114 -0.1977 4.0993
O -0.0935 0.6501 6.2736
O 5.1426 -2.3682 8.9432
O 1.0979 2.6634 4.4760
O 5.3341 -1.5148 4.9856
O 0.0980 1.5035 2.3160
O 3.5292 -0.6670 7.1599
O 6.0860 -0.0277 7.4147
```

***

12
Lattice="-3.9110 3.9790 -0.2123 -0.5008 -0.7859 -5.5050 -1.6176 -5.3079 3.7363" Properties=species:S:1:pos:R:3 comment="BaTbNp2O8 PBE-GGA relaxed" dos_at_fermi_per_ev_atom=1.05 pbc="T T T"
Ba -3.8673 0.1338 0.3327
Tb 0.0000 0.0000 0.0000
Np -2.2059 1.5966 -2.8587
Np -2.1622 -2.2486 -2.3137
O -4.0815 1.6105 -3.9049
O -1.9564 0.0043 -1.4392
O -3.8336 -2.0588 -1.0002
O -1.7832 -3.3933 2.2895
O -4.2430 1.9424 -1.4486
O -2.1991 -0.7200 -3.8026
O -2.2937 -3.9678 -0.6078
O -3.7273 -1.8766 1.9899

***

18
Lattice="7.8544 -0.1266 -0.0898 3.7688 6.8922 -0.0898 3.7688 2.1938 6.5344" Properties=species:S:1:pos:R:3 comment="Ba2TbNp3O12 PBE-GGA relaxed" dos_at_fermi_per_ev_atom=0.36 pbc="T T T"
Ba 10.5993 6.1697 4.3761
Ba 4.7927 2.7897 1.9787
Tb 0.0000 0.0000 0.0000
Np 3.9272 -0.0633 -0.0449
Np 1.8844 3.4461 -0.0449
Np 1.8844 1.0969 3.2672
O 7.2185 4.2018 6.2000
O 12.0183 6.9956 2.0663
O 9.6419 8.3452 5.9192
O 9.8608 2.7011 1.9159
O 12.0183 4.2628 5.9192
O 7.2185 7.2405 1.9159
O 8.1735 4.7576 0.1548
O 3.3737 1.9638 4.2885
O 5.7500 0.6142 0.4356
O 5.5312 6.2583 4.4390
O 3.3737 4.6966 0.4356
O 8.1735 1.7189 4.4390

***

Which E_form (uncorrected) belongs to each record? In order, -235; -286; -266; -247; -271; -257; -287; -276; -295; -289; -278; -284 kJ per mole of atoms.